Compound: SrLaPO2
Source: the Alexandria database
Functional: PBEsol
Structure: optimized geometry

- Calculated volume: 112.3 Å³/cell
- Formation energy from raw total energies: -1.53 eV per atom

abc: 4.449 4.449 5.677
angles: 90.00 90.00 90.00
Sites, in units of the cell vectors:
Sr 0.000 0.000 0.000
La 0.500 0.500 0.500
P 0.500 0.500 0.000
O 0.000 0.500 0.500
O 0.500 0.000 0.500